First-principles (PBE+U) data for TlV2IrO8 after structural relaxation, as listed in Alexandria via LeMat-Bulk.

Calculated values
- Magnetization: 0.0 μB/cell
- Total energy: -6.83 eV/atom
- Space-group type: C2/m

```
data_TlV2IrO8
_symmetry_space_group_name_H-M 'P 1'
_symmetry_Int_Tables_number 1
_cell_length_a 5.230
_cell_length_b 5.230
_cell_length_c 6.873
_cell_angle_alpha 89.25
_cell_angle_beta 89.25
_cell_angle_gamma 66.13
loop_
_symmetry_equiv_pos_as_xyz
'x,y,z'
loop_
_atom_site_label
_atom_site_type_symbol
_atom_site_fract_x
_atom_site_fract_y
_atom_site_fract_z
Tl1 Tl 0.000 0.000 0.500
V1 V 0.642 0.642 0.227
V2 V 0.358 0.358 0.773
Ir1 Ir 0.000 0.000 0.000
O1 O 0.743 0.213 0.784
O2 O 0.775 0.775 0.044
O3 O 0.728 0.728 0.443
O4 O 0.272 0.272 0.557
O5 O 0.225 0.225 0.956
O6 O 0.213 0.743 0.784
O7 O 0.787 0.257 0.216
O8 O 0.257 0.787 0.216
```